--- a ---
First-principles (PBE) data for crystalline TmTcGe2 at its relaxed geometry, as listed in Alexandria via LeMat-Bulk.

a b c (Å): 4.609 4.609 4.609
angles (deg): 60.00 60.00 60.00
Fractional positions:
Tm 0.000 0.000 0.000
Tc 0.500 0.500 0.500
Ge 0.750 0.750 0.750
Ge 0.250 0.250 0.250

Calculated values
M_tot	0.00	Bohr magnetons per cell
space-group type	Fm-3m, No. 225

--- b ---
First-principles (PBE) data for crystalline TmTcGe2 at its relaxed geometry, as listed in Alexandria via LeMat-Bulk.

a b c (Å): 3.222 3.222 6.789
angles (deg): 90.00 90.00 90.00
Fractional positions:
Ge 0.000 0.000 0.204
Ge 0.000 0.000 0.796
Tc 0.500 0.500 0.000
Tm 0.500 0.500 0.500

Calculated values
M_tot	0.00	Bohr magnetons per cell
space-group type	P4/mmm, No. 123

b is favored, and the nearest alternative lies 36 meV per atom above it.

--- a ---
First-principles (PBE) data for crystalline TmTcGe2 at its relaxed geometry, as listed in Alexandria via LeMat-Bulk.

a b c (Å): 5.438 8.448 10.621
angles (deg): 113.43 104.83 90.00
Fractional positions:
Ge 0.199 0.199 0.399
Ge 0.363 0.713 0.727
Ge 0.637 0.287 0.273
Ge 0.202 0.702 0.404
Ge 0.363 0.014 0.727
Ge 0.637 0.986 0.273
Ge 0.765 0.000 0.000
Ge 0.801 0.801 0.601
Ge 0.798 0.298 0.596
Ge 0.240 0.500 0.000
Ge 0.235 0.000 0.000
Ge 0.760 0.500 0.000
Tc 0.500 0.249 0.000
Tc 0.500 0.500 0.500
Tc 0.500 0.751 0.000
Tc 0.000 0.000 0.500
Tc 0.000 0.500 0.500
Tc 0.500 0.000 0.500
Tm 0.907 0.652 0.813
Tm 0.093 0.838 0.187
Tm 0.093 0.348 0.187
Tm 0.358 0.358 0.716
Tm 0.642 0.642 0.284
Tm 0.907 0.162 0.813

Calculated values
M_tot	0.00	Bohr magnetons per cell
space-group type	Immm, No. 71

--- b ---
First-principles (PBE) data for crystalline TmTcGe2 at its relaxed geometry, as listed in Alexandria via LeMat-Bulk.

a b c (Å): 4.660 4.660 7.064
angles (deg): 70.74 70.74 60.00
Each line ends with the local moment (μB).
Fractional positions:
Tc 0.000 0.000 0.000  2.68
Ge 0.877 0.877 0.368  -0.05
Ge 0.123 0.123 0.632  -0.05
Tm 0.500 0.500 0.500  -0.09

Calculated values
M_tot	2.96	Bohr magnetons per cell
space-group type	R-3m, No. 166

--- c ---
First-principles (PBE) data for crystalline TmTcGe2 at its relaxed geometry, as listed in Alexandria via LeMat-Bulk.

a b c (Å): 4.079 7.600 5.411
angles (deg): 106.75 112.14 90.00
Fractional positions:
Tm 0.250 0.750 0.000
Tm 0.750 0.250 0.000
Ge 0.586 0.858 0.672
Ge 0.414 0.142 0.328
Ge 0.914 0.642 0.328
Ge 0.086 0.358 0.672
Tc 0.500 0.500 0.500
Tc 0.000 0.000 0.500

Calculated values
M_tot	0.00	Bohr magnetons per cell
space-group type	C2/m, No. 12

a is favored, and the nearest alternative lies 150 meV per atom above it.

--- a ---
First-principles (PBE) data for crystalline Tm2Tc3Ge4 at its relaxed geometry, as listed in Alexandria via LeMat-Bulk.

a b c (Å): 6.876 6.917 6.898
angles (deg): 90.00 90.00 110.25
Fractional positions:
Tc 0.758 0.236 0.855
Tc 0.742 0.764 0.355
Tc 0.500 0.500 0.000
Tc 0.242 0.764 0.145
Tc 0.258 0.236 0.645
Tc 0.000 0.500 0.500
Ge 0.363 0.513 0.354
Ge 0.137 0.487 0.854
Ge 0.368 0.103 0.948
Ge 0.632 0.897 0.052
Ge 0.637 0.487 0.646
Ge 0.863 0.513 0.146
Ge 0.868 0.103 0.552
Ge 0.132 0.897 0.448
Tm 0.948 0.808 0.830
Tm 0.052 0.192 0.170
Tm 0.448 0.808 0.670
Tm 0.552 0.192 0.330

Calculated values
M_tot	0.00	Bohr magnetons per cell
space-group type	P2_1/c, No. 14

--- b ---
First-principles (PBE) data for crystalline Tm2Tc3Ge4 at its relaxed geometry, as listed in Alexandria via LeMat-Bulk.

a b c (Å): 5.406 5.406 6.997
angles (deg): 101.22 101.22 119.74
Fractional positions:
Ge 0.002 0.674 0.675
Ge 0.998 0.326 0.325
Ge 0.674 0.002 0.675
Ge 0.326 0.998 0.325
Tc 0.000 0.000 0.000
Tc 0.000 0.500 0.000
Tc 0.500 0.000 0.000
Tm 0.634 0.634 0.268
Tm 0.366 0.366 0.732

Calculated values
M_tot	0.00	Bohr magnetons per cell
space-group type	Fmmm, No. 69

a is favored, and the nearest alternative lies 186 meV per atom above it.

--- a ---
First-principles (PBE) data for crystalline Tm2TcGe2 at its relaxed geometry, as listed in Alexandria via LeMat-Bulk.

a b c (Å): 5.959 6.120 7.302
angles (deg): 114.78 114.08 90.00
Fractional positions:
Tm 0.163 0.402 0.326
Tm 0.663 0.925 0.326
Tm 0.337 0.075 0.674
Tm 0.837 0.598 0.674
Tc 0.250 0.500 0.000
Tc 0.750 0.500 0.000
Ge 0.085 0.879 0.169
Ge 0.585 0.291 0.169
Ge 0.915 0.121 0.831
Ge 0.415 0.709 0.831

Calculated values
M_tot	0.00	Bohr magnetons per cell
space-group type	Ibam, No. 72

--- b ---
First-principles (PBE) data for crystalline Tm2TcGe2 at its relaxed geometry, as listed in Alexandria via LeMat-Bulk.

a b c (Å): 4.207 5.820 9.221
angles (deg): 89.31 76.81 68.81
Fractional positions:
Tc 0.641 0.085 0.633
Tc 0.359 0.915 0.367
Tm 0.672 0.331 0.325
Tm 0.927 0.258 0.888
Tm 0.073 0.742 0.112
Tm 0.328 0.669 0.675
Ge 0.923 0.717 0.437
Ge 0.077 0.283 0.563
Ge 0.634 0.855 0.878
Ge 0.366 0.145 0.122

Calculated values
M_tot	0.00	Bohr magnetons per cell
space-group type	C2/m, No. 12

b is favored, and the nearest alternative lies 189 meV per atom above it.

--- a ---
First-principles (PBE) data for crystalline UTcGe at its relaxed geometry, as listed in Alexandria via LeMat-Bulk.

a b c (Å): 4.232 4.232 6.882
angles (deg): 90.00 90.00 110.89
Each line ends with the local moment (μB).
Fractional positions:
Tc 0.332 0.866 0.250  -0.06
Tc 0.866 0.332 0.750  -0.06
Ge 0.240 0.958 0.750  0.00
Ge 0.958 0.240 0.250  0.00
U 0.599 0.599 0.000  0.88
U 0.599 0.599 0.500  0.88

Calculated values
M_tot	1.68	Bohr magnetons per cell
space-group type	Cmcm, No. 63

--- b ---
First-principles (PBE) data for crystalline UTcGe at its relaxed geometry, as listed in Alexandria via LeMat-Bulk.

a b c (Å): 3.356 3.348 9.554
angles (deg): 90.00 110.57 90.00
Fractional positions:
U 0.821 0.750 0.071
U 0.179 0.250 0.929
Ge 0.164 0.750 0.414
Ge 0.836 0.250 0.586
Tc 0.468 0.750 0.718
Tc 0.532 0.250 0.282

Calculated values
M_tot	0.00	Bohr magnetons per cell
space-group type	P4/nmm, No. 129

a is favored, and the nearest alternative lies 60 meV per atom above it.

--- a ---
First-principles (PBE) data for crystalline UTc2Ge at its relaxed geometry, as listed in Alexandria via LeMat-Bulk.

a b c (Å): 3.547 4.321 4.321
angles (deg): 90.00 90.00 90.00
Fractional positions:
U 0.500 0.500 0.500
Tc 0.000 0.000 0.500
Tc 0.000 0.500 0.000
Ge 0.500 0.000 0.000

Calculated values
M_tot	0.00	Bohr magnetons per cell
space-group type	P4/mmm, No. 123

--- b ---
First-principles (PBE) data for crystalline UTc2Ge at its relaxed geometry, as listed in Alexandria via LeMat-Bulk.

a b c (Å): 4.687 4.687 4.670
angles (deg): 59.87 59.87 60.00
Fractional positions:
Tc 0.793 0.793 0.622
Tc 0.207 0.207 0.378
U 0.000 0.000 0.000
Ge 0.500 0.500 0.500

Calculated values
M_tot	0.00	Bohr magnetons per cell
space-group type	R-3m, No. 166

a is favored, and the nearest alternative lies 134 meV per atom above it.

--- a ---
First-principles (PBE) data for crystalline V3TcGe at its relaxed geometry, as listed in Alexandria via LeMat-Bulk.

a b c (Å): 4.519 4.519 4.519
angles (deg): 90.00 90.00 90.00
Fractional positions:
V 0.000 0.500 0.000
V 0.000 0.000 0.500
V 0.500 0.000 0.000
Tc 0.000 0.000 0.000
Ge 0.500 0.500 0.500

Calculated values
M_tot	0.01	Bohr magnetons per cell
space-group type	Pm-3m, No. 221

--- b ---
First-principles (PBE) data for crystalline V3TcGe at its relaxed geometry, as listed in Alexandria via LeMat-Bulk.

a b c (Å): 4.360 5.470 6.128
angles (deg): 90.00 94.26 90.00
Fractional positions:
V 0.839 0.527 0.742
V 0.839 0.973 0.742
V 0.161 0.473 0.258
V 0.335 0.750 0.543
V 0.161 0.027 0.258
V 0.665 0.250 0.457
Ge 0.661 0.250 0.061
Ge 0.339 0.750 0.939
Tc 0.273 0.250 0.721
Tc 0.727 0.750 0.279

Calculated values
M_tot	0.00	Bohr magnetons per cell
space-group type	P2_1/m, No. 11

--- c ---
First-principles (PBE) data for crystalline V3TcGe at its relaxed geometry, as listed in Alexandria via LeMat-Bulk.

a b c (Å): 4.423 4.423 4.423
angles (deg): 90.00 90.00 90.00
Each line ends with the local moment (μB).
Fractional positions:
Ge 0.000 0.000 0.000  0.03
V 0.000 0.000 0.500  -0.52
V 0.000 0.500 0.000  -0.52
V 0.500 0.000 0.000  -0.52
Tc 0.500 0.500 0.500  1.34

Calculated values
M_tot	0.26	Bohr magnetons per cell
space-group type	Pm-3m, No. 221

b is favored, and the nearest alternative lies 988 meV per atom above it.

--- a ---
First-principles (PBE) data for crystalline VTcGe3 at its relaxed geometry, as listed in Alexandria via LeMat-Bulk.

a b c (Å): 4.796 4.796 4.796
angles (deg): 90.00 90.00 90.00
Each line ends with the local moment (μB).
Fractional positions:
Ge 0.000 0.000 0.500  0.03
Ge 0.000 0.500 0.000  0.03
Ge 0.500 0.000 0.000  0.03
Tc 0.000 0.000 0.000  0.66
V 0.500 0.500 0.500  3.11

Calculated values
M_tot	4.83	Bohr magnetons per cell
space-group type	Pm-3m, No. 221

--- b ---
First-principles (PBE) data for crystalline VTcGe3 at its relaxed geometry, as listed in Alexandria via LeMat-Bulk.

a b c (Å): 6.775 6.775 10.588
angles (deg): 75.05 75.05 44.73
Fractional positions:
V 0.634 0.037 0.537
V 0.366 0.963 0.463
V 0.963 0.366 0.963
V 0.037 0.634 0.037
Ge 0.196 0.203 0.712
Ge 0.681 0.214 0.036
Ge 0.319 0.786 0.964
Ge 0.804 0.797 0.288
Ge 0.214 0.681 0.536
Ge 0.786 0.319 0.464
Ge 0.377 0.363 0.314
Ge 0.203 0.196 0.212
Ge 0.623 0.637 0.686
Ge 0.363 0.377 0.814
Ge 0.637 0.623 0.186
Ge 0.797 0.804 0.788
Tc 0.872 0.128 0.250
Tc 0.128 0.872 0.750
Tc 0.000 0.500 0.500
Tc 0.500 0.000 0.000

Calculated values
M_tot	0.00	Bohr magnetons per cell
space-group type	C2/c, No. 15

b is favored, and the nearest alternative lies 632 meV per atom above it.